# 1
{"formula": "Ac2CeDyO6", "functional": "PBE", "state": "optimized geometry", "lattice_angstrom": [[-2.5803, 0.3882, 5.5221], [1.0688, -6.1397, 0.9311], [7.8636, 1.9089, 3.5607]], "species": ["O", "O", "Ac", "O", "O", "Ac", "O", "O", "Ce", "O", "Dy", "O", "Ce", "O", "Ac", "O", "Dy", "O", "O", "Ac"], "frac_coords": [[0.3734, 0.9400, 0.7564], [0.8734, 0.5600, 0.2564], [0.9841, 0.0482, 0.7517], [0.2992, 0.6928, 0.4342], [0.6266, 0.0600, 0.2436], [0.5159, 0.5482, 0.7483], [0.1266, 0.4400, 0.7436], [0.1928, 0.2035, 0.4281], [0.5000, 0.0000, 0.5000], [0.3072, 0.7035, 0.0719], [0.0000, 0.5000, 0.5000], [0.6928, 0.2965, 0.9281], [0.0000, 0.5000, 0.0000], [0.7008, 0.3072, 0.5658], [0.0159, 0.9518, 0.2483], [0.8072, 0.7965, 0.5719], [0.5000, 0.0000, 0.0000], [0.2008, 0.1928, 0.0658], [0.7992, 0.8072, 0.9342], [0.4841, 0.4518, 0.2517]], "e_form_raw_ev_per_atom": -3.3542, "sg": "P2_1/c"}

# 2
{"formula": "Cs3RbF", "functional": "PBE", "state": "optimized geometry", "lattice_angstrom": [[-8.6289, 0.3311, -0.3746], [-0.4450, -2.1345, 8.3638], [0.2278, 8.3691, 2.1480]], "species": ["Cs", "Rb", "Cs", "F", "Cs"], "frac_coords": [[0.5000, 0.0000, 0.0000], [0.0000, 0.0000, 0.0000], [0.0000, 0.0000, 0.5000], [0.5000, 0.5000, 0.5000], [0.0000, 0.5000, 0.0000]], "e_form_raw_ev_per_atom": -0.2590, "polymorph_energy_mev_per_atom": 788, "sg": "Pm-3m"}

# 3
{"formula": "KHg2I2", "functional": "PBE", "state": "optimized geometry", "lattice_angstrom": [[9.2779, 0.0000, 0.0000], [0.0000, 9.2779, 0.0000], [0.0000, 0.0000, 4.4399]], "species": ["I", "K", "K", "I", "Hg", "Hg", "I", "Hg", "I", "Hg"], "frac_coords": [[0.7112, 0.7888, 0.5000], [0.5000, 0.5000, 0.0000], [0.0000, 0.0000, 0.0000], [0.2888, 0.2112, 0.5000], [0.1075, 0.3925, 0.0000], [0.6075, 0.1075, 0.0000], [0.7888, 0.2888, 0.5000], [0.3925, 0.8925, 0.0000], [0.2112, 0.7112, 0.5000], [0.8925, 0.6075, 0.0000]], "e_form_raw_ev_per_atom": -0.4932, "polymorph_energy_mev_per_atom": 57, "sg": "P4/mbm"}

# 4
{"formula": "Ho2BiPb", "functional": "PBE", "state": "optimized geometry", "lattice_angstrom": [[-1.7992, -1.7788, -3.1854], [-2.9232, -1.4222, 2.4454], [-3.7035, 5.7183, -1.1015]], "species": ["Ho", "Bi", "Ho", "Pb"], "frac_coords": [[0.0000, 0.0000, 0.7518], [0.5000, 0.5000, 0.0000], [0.0000, 0.0000, 0.2482], [0.5000, 0.5000, 0.5000]], "polymorph_energy_mev_per_atom": 148, "sg": "P4/mmm"}

# 5
{"formula": "SrPm2Br8", "functional": "PBE", "state": "optimized geometry", "lattice_angstrom": [[-2.1965, -4.5713, -5.8578], [7.4512, 0.6375, -5.1716], [6.6817, -6.1527, 0.4158]], "species": ["Br", "Br", "Pm", "Br", "Sr", "Br", "Pm", "Br", "Br", "Br", "Br"], "frac_coords": [[0.2800, 0.8347, 0.8347], [0.7791, 0.1389, 0.6866], [0.6428, 0.8233, 0.8233], [0.7200, 0.1653, 0.1653], [0.0000, 0.0000, 0.0000], [0.7791, 0.6866, 0.1389], [0.3572, 0.1767, 0.1767], [0.2209, 0.8611, 0.3134], [0.2209, 0.3134, 0.8611], [0.2289, 0.3442, 0.3442], [0.7711, 0.6558, 0.6558]], "e_form_raw_ev_per_atom": -1.7844, "sg": "C2/m"}

# 6
{"formula": "Y3Pa2N4", "functional": "PBE", "state": "optimized geometry", "lattice_angstrom": [[-2.9651, -1.4696, -1.0097], [0.7761, -5.9745, 0.4886], [-3.4453, -1.7827, 6.7843]], "species": ["N", "N", "Y", "Pa", "N", "Y", "Y", "N", "Pa"], "frac_coords": [[0.8044, 0.0917, 0.2995], [0.1956, 0.9083, 0.7005], [0.0000, 0.0000, 0.0000], [0.6017, 0.1874, 0.6092], [0.5939, 0.7029, 0.1093], [0.2035, 0.4001, 0.1929], [0.7965, 0.5999, 0.8071], [0.4061, 0.2971, 0.8907], [0.3983, 0.8126, 0.3908]], "e_form_raw_ev_per_atom": -1.3593, "sg": "C2/m"}

Number 1: ρ 8323 kg/m³. Number 2: ρ 1294 kg/m³. Number 3: ρ 6031 kg/m³. Number 4: ρ 10848 kg/m³. Number 5: ρ 3156 kg/m³. Number 6: ρ 8688 kg/m³.